This record from the Alexandria database describes crystalline Li2NpFeO4 at its relaxed geometry. The functional is PBE+U.

The calculation puts the total magnetization at 0.875 μB/atom. The value obtained for the uncorrected energy is -7.4068 eV per atom. The density of states at the Fermi level comes out at 26.3 states/eV/cell.

Unit cell a=9.1431 b=8.5824 c=6.4140 alpha=90.00 beta=132.19 gamma=90.00
Closest atoms and distances in Å follow each position.
Space group C2/c (No. 15)
Inequivalent atoms, fractional coordinates:
Li 0.0000 0.0000 0.0000 (multiplicity 4)  2 O 2.05
Li 0.2500 0.2500 0.0000 (multiplicity 4)  4 O 2.14-2.31
Np 0.2500 0.2500 0.5000 (multiplicity 4)  6 O 2.18-2.27
Fe 0.0000 0.5000 0.0000 (multiplicity 4)  6 O 2.14-2.25
O 0.0084 0.2387 0.0235 (multiplicity 8)  1 Li 2.05, 1 Fe 2.25, 2 Np 2.27
O 0.2201 0.4971 0.9498 (multiplicity 8)  2 Li 2.14-2.36, 2 Fe 2.14-2.24, 1 Np 2.18